No. 1
Compound: Rb2GaIr3O12
Source: the Alexandria database
Functional: GGA-PBE
Structure: optimized geometry

Cell: 7.1997 7.1997 7.1997 Å, 60.42 60.42 60.42°
Last column: magnetic moment on the atom in μB.
Fractional positions:
O: 0.6764 0.0682 0.0682  0.28
O: 0.0758 0.6803 0.6803  0.02
O: 0.9242 0.3197 0.3197  0.02
O: 0.9318 0.3236 0.9318  0.28
O: 0.3236 0.9318 0.9318  0.28
O: 0.0682 0.0682 0.6764  0.28
O: 0.3197 0.3197 0.9242  0.02
O: 0.6803 0.6803 0.0758  0.02
O: 0.6803 0.0758 0.6803  0.02
O: 0.9318 0.9318 0.3236  0.28
O: 0.0682 0.6764 0.0682  0.28
O: 0.3197 0.9242 0.3197  0.02
Ga: 0.0000 0.0000 0.0000  0.03
Rb: 0.6237 0.6237 0.6237  0.01
Rb: 0.3763 0.3763 0.3763  0.01
Ir: 0.0000 0.0000 0.5000  0.62
Ir: 0.0000 0.5000 0.0000  0.62
Ir: 0.5000 0.0000 0.0000  0.62



No. 2
Compound: RbGaIrO6
Source: the Alexandria database
Functional: GGA-PBE
Structure: optimized geometry

Cell: 5.2674 5.2674 6.2905 Å, 90.00 90.00 60.00°
Last column: magnetic moment on the atom in μB.
Fractional positions:
Ir: 0.3333 0.3333 0.5000  0.17
O: 0.3928 0.5920 0.3252  0.03
O: 0.5919 0.3928 0.6748  0.03
O: 0.0152 0.3928 0.3252  0.03
O: 0.0152 0.5920 0.6748  0.03
O: 0.3928 0.0152 0.6748  0.03
O: 0.5920 0.0152 0.3252  0.03
Rb: 0.0000 0.0000 0.0000  0.00
Ga: 0.6666 0.6667 0.5000  0.01



No. 3
Compound: GaIr2SO
Source: the Alexandria database
Functional: GGA-PBE
Structure: optimized geometry

Cell: 4.0788 4.5295 4.0788 Å, 90.00 90.00 90.00°
Fractional positions:
S: 0.5000 0.5000 0.5000
Ga: 0.0000 0.5000 0.0000
O: 0.0000 0.0000 0.0000
Ir: 0.5000 0.0000 0.0000
Ir: 0.0000 0.0000 0.5000



No. 4
Compound: GaSbIrO6
Source: the Alexandria database
Functional: GGA-PBE
Structure: optimized geometry

Cell: 5.1080 5.1080 8.7988 Å, 90.00 90.00 120.00°
Last column: magnetic moment on the atom in μB.
Fractional positions:
O: 0.6573 0.6600 0.1270  0.05
O: 0.3427 0.0027 0.6270  0.05
O: 0.0027 0.6600 0.3730  0.05
O: 0.6600 0.6573 0.6270  0.05
O: 0.3400 0.3427 0.3730  0.05
O: 0.9973 0.3400 0.6270  0.05
O: 0.3427 0.3400 0.8730  0.05
O: 0.6573 0.9973 0.3730  0.05
O: 0.0027 0.3427 0.1270  0.05
O: 0.9973 0.6573 0.8730  0.05
O: 0.3400 0.9973 0.1270  0.05
O: 0.6600 0.0027 0.8730  0.05
Sb: 0.0000 0.0000 0.5000  -0.01
Sb: 0.0000 0.0000 0.0000  -0.01
Ir: 0.3333 0.6667 0.7500  0.43
Ir: 0.6667 0.3333 0.2500  0.43
Ga: 0.3333 0.6667 0.2500  0.00
Ga: 0.6667 0.3333 0.7500  0.00



No. 5
Compound: ScGaIrO6
Source: the Alexandria database
Functional: GGA-PBE
Structure: optimized geometry

Cell: 5.1308 5.1308 8.7134 Å, 90.00 90.00 120.00°
Fractional positions:
O: 0.6541 0.6739 0.6240
O: 0.6541 0.9802 0.8760
O: 0.0198 0.3459 0.6240
O: 0.9802 0.3261 0.1240
O: 0.9802 0.6541 0.3760
O: 0.3459 0.3261 0.3760
O: 0.6739 0.6541 0.1240
O: 0.0198 0.6739 0.8760
O: 0.6739 0.0198 0.3760
O: 0.3261 0.9802 0.6240
O: 0.3261 0.3459 0.8760
O: 0.3459 0.0198 0.1240
Ga: 0.0000 0.0000 0.0000
Ga: 0.0000 0.0000 0.5000
Ir: 0.3333 0.6667 0.7500
Ir: 0.6667 0.3333 0.2500
Sc: 0.6667 0.3333 0.7500
Sc: 0.3333 0.6667 0.2500



No. 6
Compound: SmGa2IrO8
Source: the Alexandria database
Functional: GGA-PBE
Structure: optimized geometry

Cell: 4.7320 4.7102 6.4829 Å, 90.00 90.00 88.95°
Last column: magnetic moment on the atom in μB.
Fractional positions:
O: 0.2028 0.7899 0.7885  0.10
O: 0.2922 0.2860 0.0000  0.01
O: 0.7972 0.2101 0.2115  0.10
O: 0.7078 0.7140 0.0000  0.01
O: 0.3313 0.3240 0.5000  0.02
O: 0.7972 0.2101 0.7885  0.10
O: 0.6687 0.6760 0.5000  0.02
O: 0.2028 0.7899 0.2115  0.10
Sm: 0.0000 0.0000 0.5000  0.00
Ga: 0.5000 0.5000 0.7495  0.01
Ga: 0.5000 0.5000 0.2505  0.01
Ir: 0.0000 0.0000 0.0000  0.51



No. 7
Compound: SrGa2IrO8
Source: the Alexandria database
Functional: GGA-PBE
Structure: optimized geometry

Cell: 4.8323 4.3896 6.6775 Å, 89.89 89.96 88.42°
Fractional positions:
Ir: 0.0000 0.0000 0.0000
Ga: 0.5001 0.4999 0.7653
Ga: 0.4999 0.5001 0.2347
O: 0.3318 0.2502 0.0000
O: 0.4621 0.2588 0.5000
O: 0.8435 0.2625 0.7981
O: 0.1565 0.7375 0.2019
O: 0.8427 0.2615 0.2013
O: 0.1573 0.7385 0.7987
O: 0.6682 0.7498 0.0000
O: 0.5379 0.7412 0.5000
Sr: 0.0000 0.0000 0.5000



No. 8
Compound: Sr2GaIrO6
Source: the Alexandria database
Functional: GGA-PBE
Structure: optimized geometry

Cell: 5.6267 5.5778 7.8977 Å, 90.00 90.04 90.00°
Last column: magnetic moment on the atom in μB.
Fractional positions:
Sr: 0.9972 0.0171 0.7498  0.01
Sr: 0.4972 0.4829 0.2498  0.01
Sr: 0.0028 0.9829 0.2502  0.01
Sr: 0.5028 0.5171 0.7502  0.01
O: 0.9443 0.5037 0.2500  0.12
O: 0.2274 0.2280 0.0293  0.12
O: 0.4443 0.9963 0.7500  0.12
O: 0.7726 0.7720 0.9707  0.12
O: 0.7713 0.7724 0.5291  0.12
O: 0.7287 0.2724 0.9709  0.12
O: 0.2713 0.7276 0.0291  0.12
O: 0.2287 0.2276 0.4709  0.12
O: 0.0557 0.4963 0.7500  0.12
O: 0.2726 0.7280 0.4707  0.12
O: 0.7274 0.2720 0.5293  0.12
O: 0.5557 0.0037 0.2500  0.12
Ga: 0.5000 0.0000 0.0000  0.00
Ga: 0.0000 0.5000 0.5000  0.00
Ir: 0.0000 0.5000 0.0000  1.02
Ir: 0.5000 0.0000 0.5000  1.02



No. 9
Compound: GaTcIr2O
Source: the Alexandria database
Functional: GGA-PBE
Structure: optimized geometry

Cell: 4.8768 3.3251 4.8768 Å, 90.00 90.00 90.00°
Fractional positions:
Ga: 0.0000 0.0000 0.0000
O: 0.0000 0.5000 0.0000
Tc: 0.5000 0.5000 0.5000
Ir: 0.0000 0.0000 0.5000
Ir: 0.5000 0.0000 0.0000



No. 10
Compound: GaTeIrO6
Source: the Alexandria database
Functional: GGA-PBE
Structure: optimized geometry

Cell: 5.1310 5.1310 8.6977 Å, 90.00 90.00 120.00°
Fractional positions:
Ga: 0.6667 0.3333 0.7500
Ga: 0.3333 0.6667 0.2500
O: 0.3450 0.3441 0.3726
O: 0.6559 0.6550 0.1274
O: 0.9991 0.6550 0.3726
O: 0.0009 0.6559 0.8726
O: 0.0009 0.3450 0.6274
O: 0.6550 0.9991 0.8726
O: 0.3450 0.0009 0.1274
O: 0.6550 0.6559 0.6274
O: 0.3441 0.3450 0.8726
O: 0.3441 0.9991 0.6274
O: 0.9991 0.3441 0.1274
O: 0.6559 0.0009 0.3726
Te: 0.6667 0.3333 0.2500
Te: 0.3333 0.6667 0.7500
Ir: 0.0000 0.0000 0.0000
Ir: 0.0000 0.0000 0.5000



No. 11
Compound: TlGa2IrO8
Source: the Alexandria database
Functional: GGA-PBE
Structure: optimized geometry

Cell: 4.6448 4.6277 6.5099 Å, 90.00 90.00 90.48°
Fractional positions:
Ga: 0.5000 0.5000 0.7492
Ga: 0.5000 0.5000 0.2508
Tl: 0.0000 0.0000 0.5000
Ir: 0.0000 0.0000 0.0000
O: 0.7992 0.2048 0.7863
O: 0.6749 0.6784 0.5000
O: 0.2008 0.7952 0.2137
O: 0.3251 0.3216 0.5000
O: 0.7040 0.7071 0.0000
O: 0.7991 0.2047 0.2137
O: 0.2960 0.2929 0.0000
O: 0.2009 0.7953 0.7863



No. 12
Compound: TmGaIrO6
Source: the Alexandria database
Functional: GGA-PBE
Structure: optimized geometry

Cell: 5.2733 5.2733 8.6399 Å, 90.00 90.00 120.00°
Fractional positions:
O: 0.6850 0.0348 0.3789
O: 0.9652 0.3150 0.1211
O: 0.9652 0.6501 0.3789
O: 0.6850 0.6501 0.1211
O: 0.3150 0.9652 0.6211
O: 0.0348 0.3499 0.6211
O: 0.6501 0.6850 0.6211
O: 0.6501 0.9652 0.8789
O: 0.3150 0.3499 0.8789
O: 0.0348 0.6850 0.8789
O: 0.3499 0.3150 0.3789
O: 0.3499 0.0348 0.1211
Ir: 0.6667 0.3333 0.2500
Ir: 0.3333 0.6667 0.7500
Tm: 0.3333 0.6667 0.2500
Tm: 0.6667 0.3333 0.7500
Ga: 0.0000 0.0000 0.0000
Ga: 0.0000 0.0000 0.5000



DOS(E_F) per entry: 0.559, 0.457, 0.935, 0.558, 0.703, 0.514, 0.531, 0.475, 1.823, 0.135, 0.532, 0.819 states/eV per atom
Formation energy without anion corrections per entry: -946, -991, 715, -1185, -1615, -1519, -1253, -1890, 1148, -998, -982, -1615 meV per atom